1.
First-principles (GGA-PBE) data for an optimized crystal structure of CuNi6Os, as listed in the Alexandria database.

```
CuNi6Os
1.0
3.579 -5.051 0.000
3.579 5.051 0.000
0.000 0.000 10.114
Cu Ni Os
4 24 4
direct
0.000 0.000 0.248 Cu
0.000 0.000 0.752 Cu
0.248 0.752 0.000 Cu
0.752 0.248 0.000 Cu
0.000 0.000 0.000 Ni
0.000 0.000 0.500 Ni
0.125 0.375 0.125 Ni
0.125 0.375 0.875 Ni
0.126 0.377 0.375 Ni
0.126 0.377 0.625 Ni
0.251 0.749 0.251 Ni
0.251 0.749 0.749 Ni
0.375 0.125 0.125 Ni
0.375 0.125 0.875 Ni
0.377 0.126 0.375 Ni
0.377 0.126 0.625 Ni
0.500 0.500 0.000 Ni
0.500 0.500 0.500 Ni
0.623 0.874 0.375 Ni
0.623 0.874 0.625 Ni
0.625 0.875 0.125 Ni
0.625 0.875 0.875 Ni
0.749 0.251 0.251 Ni
0.749 0.251 0.749 Ni
0.874 0.623 0.375 Ni
0.874 0.623 0.625 Ni
0.875 0.625 0.125 Ni
0.875 0.625 0.875 Ni
0.249 0.751 0.500 Os
0.500 0.500 0.243 Os
0.500 0.500 0.757 Os
0.751 0.249 0.500 Os
```

Energy: -6.176 eV/atom
DFT formation energy: 0.076 eV/atom
Spin magnetization: 1.43 μB/f.u.
N(E_F): 1.506 states/eV per atom

***

2.
First-principles (GGA-PBE) data for an optimized crystal structure of CuNiOs2, as listed in the Alexandria database.

```
CuNiOs2
1.0
-1.862 1.862 3.721
1.862 -1.862 3.721
1.862 1.862 -3.721
Cu Ni Os
1 1 2
direct
0.000 0.000 0.000 Cu
0.750 0.250 0.500 Ni
0.250 0.750 0.500 Os
0.500 0.500 0.000 Os
```

Energy: -7.859 eV/atom
DFT formation energy: 0.226 eV/atom
Spin magnetization: 0.00 μB/f.u.
N(E_F): 0.875 states/eV per atom

***

3.
First-principles (GGA-PBE) data for an optimized crystal structure of CuNi6Os, as listed in the Alexandria database.

```
CuNi6Os
1.0
3.589 0.000 0.000
0.000 3.589 0.000
0.000 0.000 7.074
Cu Ni Os
1 6 1
direct
0.000 0.000 0.000 Cu
0.000 0.500 0.250 Ni
0.000 0.500 0.750 Ni
0.500 0.000 0.250 Ni
0.500 0.000 0.750 Ni
0.500 0.500 0.000 Ni
0.500 0.500 0.500 Ni
0.000 0.000 0.500 Os
```

Energy: -6.190 eV/atom
DFT formation energy: 0.062 eV/atom
Spin magnetization: 0.00 μB/f.u.
N(E_F): 1.492 states/eV per atom

***

4.
First-principles (GGA-PBE) data for an optimized crystal structure of CuNi14Os, as listed in the Alexandria database.

```
CuNi14Os
1.0
8.203 0.000 0.000
0.000 2.518 4.335
0.000 -2.518 4.335
Cu Ni Os
1 14 1
direct
0.000 0.000 0.000 Cu
0.000 0.001 0.498 Ni
0.000 0.498 0.001 Ni
0.251 0.333 0.333 Ni
0.252 0.333 0.832 Ni
0.252 0.832 0.333 Ni
0.254 0.832 0.832 Ni
0.500 0.165 0.165 Ni
0.500 0.166 0.665 Ni
0.500 0.665 0.166 Ni
0.500 0.665 0.665 Ni
0.746 0.832 0.832 Ni
0.748 0.333 0.832 Ni
0.748 0.832 0.333 Ni
0.749 0.333 0.333 Ni
0.000 0.500 0.500 Os
```

Energy: -5.952 eV/atom
DFT formation energy: 0.065 eV/atom
Spin magnetization: 7.25 μB/f.u.
N(E_F): 1.754 states/eV per atom

***

5.
First-principles (GGA-PBE) data for an optimized crystal structure of CuNiOs2, as listed in the Alexandria database.

```
CuNiOs2
1.0
4.335 -1.325 0.000
4.335 1.325 0.000
-0.808 0.000 4.572
Cu Ni Os
1 1 2
direct
0.000 0.000 0.000 Cu
0.500 0.500 0.500 Ni
0.245 0.245 0.745 Os
0.755 0.755 0.255 Os
```

Energy: -7.813 eV/atom
DFT formation energy: 0.271 eV/atom
Spin magnetization: 0.00 μB/f.u.
N(E_F): 1.186 states/eV per atom

***

6.
First-principles (GGA-PBE) data for an optimized crystal structure of CuNi4Os, as listed in the Alexandria database.

```
CuNi4Os
1.0
0.000 3.292 3.292
3.292 0.000 3.292
3.292 3.292 0.000
Cu Ni Os
1 4 1
direct
0.000 0.000 0.000 Cu
0.375 0.375 0.375 Ni
0.375 0.375 0.876 Ni
0.375 0.876 0.375 Ni
0.876 0.375 0.375 Ni
0.750 0.750 0.750 Os
```

Energy: -6.150 eV/atom
DFT formation energy: 0.258 eV/atom
Spin magnetization: 4.35 μB/f.u.
N(E_F): 1.029 states/eV per atom